(1)
## FeRuPtS2 (PBE)

Data for a relaxed FeRuPtS2 crystal.

Summary:
Distance to the lowest polymorph of the same formula ... 0.00 eV/f.u.
Fermi-level density of states ... 1.60 states/eV/atom
Formation energy (no corrections) ... 919 meV per atom

abc: 4.4021 4.4021 4.8801
angles: 90.00 90.00 90.00
Closest atoms and distances in Å follow each position.
Fractional coordinates of all 5 atoms:
1 Fe 0.0000 0.0000 0.0000  2 Ru 2.44
2 Ru 0.0000 0.0000 0.5000  4 S 2.20, 2 Fe 2.44
3 Pt 0.5000 0.5000 0.0000  4 Fe 3.11, 8 S 3.29
4 S 0.0000 0.5000 0.5000  2 Ru 2.20
5 S 0.5000 0.0000 0.5000  2 Ru 2.20

=====

(2)
## TaFeRuPt (PBE)

Data for a relaxed TaFeRuPt crystal.

Summary:
Fermi-level density of states ... 0.93 states/eV/atom
Energy of formation ... -0.399 eV per atom

abc: 3.7931 3.8519 4.0040
angles: 90.00 90.00 90.00
Closest atoms and distances in Å follow each position.
Fractional coordinates of all 4 atoms:
1 Ta 0.0000 0.0000 0.0000  4 Ru 2.70, 4 Pt 2.76, 4 Fe 2.78
2 Fe 0.0000 0.5000 0.5000  4 Pt 2.70, 4 Ru 2.76, 4 Ta 2.78
3 Ru 0.5000 0.5000 0.0000  4 Ta 2.70, 4 Fe 2.76, 4 Pt 2.78
4 Pt 0.5000 0.0000 0.5000  4 Fe 2.70, 4 Ta 2.76, 4 Ru 2.78

=====

(3)
## TlFeRu2Pt (PBE)

Data for a relaxed TlFeRu2Pt crystal.

Summary:
Fermi-level density of states ... 1.47 states/eV/atom
Energy of formation ... 1.409 eV per atom

abc: 4.8720 4.8720 4.6662
angles: 90.00 90.00 90.00
Closest atoms and distances in Å follow each position.
Fractional coordinates of all 5 atoms:
1 Tl 0.0000 0.0000 0.0000  8 Ru 3.37, 4 Fe 3.45
2 Fe 0.5000 0.5000 0.0000  2 Pt 2.33
3 Ru 0.0000 0.5000 0.5000  2 Pt 2.44
4 Ru 0.5000 0.0000 0.5000  2 Pt 2.44
5 Pt 0.5000 0.5000 0.5000  2 Fe 2.33, 4 Ru 2.44